{"formula": "SmZrCu4", "functional": "GGA-PBE", "state": "optimized geometry", "formation_energy_kj_per_mol_atoms": -4, "magnetic_moment_mub_per_fu": 0.0, "volume_a3_per_atom": 16.49, "energy_ev_per_atom": -4.9838, "lattice_angstrom": [[0.000, 3.671, 3.671], [3.671, 0.000, 3.671], [3.671, 3.671, 0.000]], "species": ["Sm", "Zr", "Cu", "Cu", "Cu", "Cu"], "frac_coords": [[0.000, 0.000, 0.000], [0.750, 0.750, 0.750], [0.376, 0.376, 0.376], [0.376, 0.376, 0.872], [0.376, 0.872, 0.376], [0.872, 0.376, 0.376]]}

***

{"formula": "Gd2CdS", "functional": "GGA-PBE", "state": "optimized geometry", "magnetic_moment_mub_per_fu": 14.9, "volume_a3_per_atom": 29.56, "e_form_raw_ev_per_atom": -0.775, "energy_ev_per_atom": -9.0764, "lattice_angstrom": [[1.873, 1.081, 9.728], [-1.873, 1.081, 9.728], [0.000, -2.163, 9.728]], "species": ["Gd", "Gd", "Cd", "S"], "frac_coords": [[0.111, 0.111, 0.111], [0.889, 0.889, 0.889], [0.000, 0.000, 0.000], [0.500, 0.500, 0.500]]}

***

{"formula": "Cs2Na", "functional": "GGA-PBE", "state": "optimized geometry", "formation_energy_kj_per_mol_atoms": 16, "magnetic_moment_mub_per_fu": 0.0, "volume_a3_per_atom": 89.45, "energy_ev_per_atom": -0.8421, "lattice_angstrom": [[0.000, 6.450, 6.450], [6.450, 0.000, 6.450], [6.450, 6.450, 0.000]], "species": ["Cs", "Cs", "Cs", "Cs", "Na", "Na"], "frac_coords": [[0.000, 0.000, 0.000], [0.000, 0.000, 0.500], [0.000, 0.500, 0.000], [0.500, 0.000, 0.000], [0.375, 0.375, 0.375], [0.625, 0.625, 0.625]]}

***

{"formula": "Nb2CoCl", "functional": "GGA-PBE", "state": "optimized geometry", "magnetic_moment_mub_per_fu": 0.0, "volume_a3_per_atom": 20.80, "e_form_raw_ev_per_atom": 0.540, "energy_ev_per_atom": -6.7335, "lattice_angstrom": [[-2.771, 2.771, 5.416], [2.771, -2.771, 5.416], [2.771, 2.771, -5.416]], "species": ["Nb", "Nb", "Nb", "Nb", "Co", "Co", "Cl", "Cl"], "frac_coords": [[0.096, 0.625, 0.971], [0.375, 0.346, 0.471], [0.654, 0.125, 0.029], [0.875, 0.904, 0.529], [0.000, 0.000, 0.000], [0.750, 0.250, 0.500], [0.250, 0.750, 0.500], [0.500, 0.500, 0.000]]}

***

{"formula": "La4Nd2Sb3H2", "functional": "GGA-PBE", "state": "optimized geometry", "magnetic_moment_mub_per_fu": 0.0, "volume_a3_per_atom": 27.65, "energy_ev_per_atom": -5.1776, "lattice_angstrom": [[-2.413, 2.413, 13.063], [2.413, -2.413, 13.063], [2.413, 2.413, -13.063]], "species": ["La", "La", "La", "La", "Nd", "Nd", "Sb", "Sb", "Sb", "H", "H"], "frac_coords": [[0.084, 0.584, 0.500], [0.416, 0.916, 0.500], [0.584, 0.084, 0.500], [0.916, 0.416, 0.500], [0.201, 0.201, 0.000], [0.799, 0.799, 0.000], [0.324, 0.324, 0.000], [0.500, 0.500, 0.000], [0.676, 0.676, 0.000], [0.107, 0.107, 0.000], [0.893, 0.893, 0.000]]}

***

{"formula": "As3PbC", "functional": "GGA-PBE", "state": "optimized geometry", "formation_energy_kj_per_mol_atoms": 92, "magnetic_moment_mub_per_fu": 0.0, "volume_a3_per_atom": 19.04, "energy_ev_per_atom": -4.4187, "lattice_angstrom": [[4.566, 0.000, 0.000], [0.000, 4.566, 0.000], [0.000, 0.000, 4.566]], "species": ["As", "As", "As", "Pb", "C"], "frac_coords": [[0.000, 0.000, 0.500], [0.000, 0.500, 0.000], [0.500, 0.000, 0.000], [0.500, 0.500, 0.500], [0.000, 0.000, 0.000]]}

***

Calculated density: 8321; 6446; 1787; 5593; 6614; 7743 (kg/m³)